The following is a DFT calculation (PBE-GGA) of a relaxed PrTm3S crystal.

It has space group Pm-3m (No. 221), with a = 5.258 Å, b = 5.258 Å, c = 5.258 Å, α = 90.00°, β = 90.00° and γ = 90.00°. The distinct sites, in fractional coordinates, are Pr at (0.000, 0.000, 0.000), Tm at (0.000, 0.500, 0.500) and S at (0.500, 0.500, 0.500).

The value obtained for the total DFT energy (no corrections) is -25.5 eV/f.u.